Crystalline RbHfHgI6 at its relaxed geometry, computed with PBE-GGA.

The value obtained for the electronic total energy is -3.1123 eV/atom.

It has space group P1 (No. 1), with a = 7.927 Å, b = 8.033 Å, c = 8.047 Å, α = 107.80°, β = 90.24° and γ = 112.01°. The distinct sites, in fractional coordinates, are Rb at (0.000, 0.000, 0.000), Hf at (0.098, 0.646, 0.447), Hg at (0.578, 0.170, 0.467), I at (0.286, 0.799, 0.190), I at (0.297, 0.409, 0.394), I at (0.381, 0.940, 0.720), I at (0.804, 0.356, 0.185), I at (0.900, 0.884, 0.494) and I at (0.923, 0.497, 0.712).

=====

Crystalline HfHgTe2I at its relaxed geometry, computed with PBE-GGA.

The value obtained for the electronic total energy is -3.8889 eV/atom. The value obtained for the energy above the most stable polymorph in this dataset is 0.00 eV/f.u.

It has space group P4/mmm (No. 123), with a = 5.575 Å, b = 5.575 Å, c = 5.824 Å, α = 90.00°, β = 90.00° and γ = 90.00°. The distinct sites, in fractional coordinates, are Hf at (0.000, 0.000, 0.000), Hg at (0.500, 0.500, 0.500), Te at (0.000, 0.500, 0.000) and I at (0.000, 0.000, 0.500).

=====

Crystalline HfHgTe2I at its relaxed geometry, computed with PBE-GGA.

The value obtained for the electronic total energy is -2.7709 eV/atom. The value obtained for the energy above the most stable polymorph in this dataset is 5.59 eV/f.u.

It has space group P4/mmm (No. 123), with a = 5.539 Å, b = 5.539 Å, c = 5.637 Å, α = 90.00°, β = 90.00° and γ = 90.00°. The distinct sites, in fractional coordinates, are Hf at (0.000, 0.000, 0.000), Hg at (0.500, 0.500, 0.500), Te at (0.000, 0.500, 0.500) and I at (0.500, 0.500, 0.000).

=====

Crystalline HfTl2Hg2I6 at its relaxed geometry, computed with PBE-GGA.

The value obtained for the electronic total energy is -2.8752 eV/atom.

It has space group C2/m (No. 12), with a = 8.271 Å, b = 14.779 Å, c = 9.674 Å, α = 90.00°, β = 110.64° and γ = 90.00°. The distinct sites, in fractional coordinates, are Hf at (0.000, 0.000, 0.000), Tl at (0.000, 0.331, 0.000), Hg at (0.000, 0.191, 0.500), I at (0.207, 0.000, 0.817) and I at (0.214, 0.136, 0.188).

=====

Crystalline HfTlHgI2 at its relaxed geometry, computed with PBE-GGA.

The value obtained for the electronic total energy is -3.2307 eV/atom.

It has space group P4/mmm (No. 123), with a = 5.654 Å, b = 5.654 Å, c = 5.967 Å, α = 90.00°, β = 90.00° and γ = 90.00°. The distinct sites, in fractional coordinates, are Hf at (0.000, 0.000, 0.000), Tl at (0.000, 0.000, 0.500), Hg at (0.500, 0.500, 0.500) and I at (0.000, 0.500, 0.000).

=====

Crystalline Hf2InHg2 at its relaxed geometry, computed with PBE-GGA.

As for the energy relative to the elements: 0.36 eV per atom. The value obtained for the electronic total energy is -4.2925 eV/atom. The value obtained for the energy above the most stable polymorph in this dataset is 1.33 eV/f.u.

It has space group I4/mmm (No. 139), with a = 4.092 Å, b = 4.092 Å, c = 14.501 Å, α = 90.00°, β = 90.00° and γ = 90.00°. The distinct sites, in fractional coordinates, are Hf at (0.000, 0.000, 0.096), In at (0.000, 0.000, 0.500) and Hg at (0.000, 0.500, 0.250).

=====

Crystalline Hf2InHg at its relaxed geometry, computed with PBE-GGA.

As for the energy relative to the elements: -0.10 eV per atom. The value obtained for the electronic total energy is -5.8359 eV/atom.

It has space group P4/mmm (No. 123), with a = 3.134 Å, b = 3.134 Å, c = 8.662 Å, α = 90.00°, β = 90.00° and γ = 90.00°. The distinct sites, in fractional coordinates, are Hf at (0.000, 0.000, 0.246), In at (0.500, 0.500, 0.500) and Hg at (0.500, 0.500, 0.000).

=====

Crystalline Hf5In12Hg3 at its relaxed geometry, computed with PBE-GGA.

As for the energy relative to the elements: 0.61 eV per atom. The value obtained for the electronic total energy is -3.5684 eV/atom.

It has space group Ia-3d (No. 230), with a = 16.991 Å, b = 16.991 Å, c = 16.991 Å, α = 90.00°, β = 90.00° and γ = 90.00°. The distinct sites, in fractional coordinates, are Hf at (0.000, 0.000, 0.000), Hf at (0.000, 0.250, 0.375), In at (0.015, 0.082, 0.649) and Hg at (0.000, 0.250, 0.125).

=====

Crystalline HfIn2Hg2 at its relaxed geometry, computed with PBE-GGA.

As for the energy relative to the elements: 0.24 eV per atom. The value obtained for the electronic total energy is -2.9692 eV/atom. The value obtained for the energy above the most stable polymorph in this dataset is 0.22 eV/f.u.

It has space group P4/mbm (No. 127), with a = 8.166 Å, b = 8.166 Å, c = 3.543 Å, α = 90.00°, β = 90.00° and γ = 90.00°. The distinct sites, in fractional coordinates, are Hf at (0.000, 0.000, 0.000), In at (0.136, 0.364, 0.000) and Hg at (0.167, 0.667, 0.500).

=====

Crystalline Hf2InHg at its relaxed geometry, computed with PBE-GGA.

As for the energy relative to the elements: -0.09 eV per atom. The value obtained for the electronic total energy is -5.8293 eV/atom.

It has space group P4/mmm (No. 123), with a = 4.407 Å, b = 4.407 Å, c = 4.387 Å, α = 90.00°, β = 90.00° and γ = 90.00°. The distinct sites, in fractional coordinates, are Hf at (0.000, 0.500, 0.000), In at (0.000, 0.000, 0.500) and Hg at (0.500, 0.500, 0.500).

=====

Crystalline Hf2InHg at its relaxed geometry, computed with PBE-GGA.

As for the energy relative to the elements: -0.09 eV per atom. The value obtained for the electronic total energy is -5.8301 eV/atom.

It has space group Pmmm (No. 47), with a = 3.159 Å, b = 4.418 Å, c = 6.100 Å, α = 90.00°, β = 90.00° and γ = 90.00°. The distinct sites, in fractional coordinates, are Hf at (0.000, 0.000, 0.249), In at (0.500, 0.500, 0.500) and Hg at (0.500, 0.500, 0.000).

=====

Crystalline Hf2InHg2 at its relaxed geometry, computed with PBE-GGA.

As for the energy relative to the elements: 0.30 eV per atom. The value obtained for the electronic total energy is -4.3481 eV/atom. The value obtained for the energy above the most stable polymorph in this dataset is 1.05 eV/f.u.

It has space group Cmmm (No. 65), with a = 5.266 Å, b = 7.851 Å, c = 5.927 Å, α = 90.00°, β = 90.00° and γ = 90.00°. The distinct sites, in fractional coordinates, are Hf at (0.000, 0.000, 0.247), In at (0.000, 0.500, 0.000) and Hg at (0.000, 0.325, 0.500).

=====

Crystalline Hf5In4Hg at its relaxed geometry, computed with PBE-GGA.

As for the energy relative to the elements: -0.13 eV per atom. The value obtained for the electronic total energy is -6.2305 eV/atom.

It has space group P4/mmm (No. 123), with a = 3.126 Å, b = 3.126 Å, c = 21.993 Å, α = 90.00°, β = 90.00° and γ = 90.00°. The distinct sites, in fractional coordinates, are Hf at (0.000, 0.000, 0.000), Hf at (0.000, 0.000, 0.202), Hf at (0.000, 0.000, 0.403), In at (0.500, 0.500, 0.101), In at (0.500, 0.500, 0.303) and Hg at (0.500, 0.500, 0.500).

=====

Crystalline Hf2InHg2 at its relaxed geometry, computed with PBE-GGA.

As for the energy relative to the elements: 0.17 eV per atom. The value obtained for the electronic total energy is -4.4768 eV/atom. The value obtained for the energy above the most stable polymorph in this dataset is 0.41 eV/f.u.

It has space group P4/mbm (No. 127), with a = 8.020 Å, b = 8.020 Å, c = 3.620 Å, α = 90.00°, β = 90.00° and γ = 90.00°. The distinct sites, in fractional coordinates, are Hf at (0.155, 0.345, 0.000), In at (0.000, 0.000, 0.000) and Hg at (0.145, 0.645, 0.500).

=====

Crystalline Hf2InHg2 at its relaxed geometry, computed with PBE-GGA.

As for the energy relative to the elements: 0.09 eV per atom. The value obtained for the electronic total energy is -4.5590 eV/atom. The value obtained for the energy above the most stable polymorph in this dataset is 0.00 eV/f.u.

It has space group P4/mbm (No. 127), with a = 8.037 Å, b = 8.037 Å, c = 3.443 Å, α = 90.00°, β = 90.00° and γ = 90.00°. The distinct sites, in fractional coordinates, are Hf at (0.173, 0.327, 0.000), In at (0.000, 0.000, 0.500) and Hg at (0.127, 0.627, 0.500).

=====

Crystalline Hf3InHg at its relaxed geometry, computed with PBE-GGA.

As for the energy relative to the elements: -0.03 eV per atom. The value obtained for the electronic total energy is -6.6074 eV/atom. The value obtained for the energy above the most stable polymorph in this dataset is 0.03 eV/f.u.

It has space group C2/c (No. 15), with a = 15.067 Å, b = 5.622 Å, c = 10.508 Å, α = 90.00°, β = 101.23° and γ = 90.00°. The distinct sites, in fractional coordinates, are Hf at (0.049, 0.247, 0.005), Hf at (0.095, 0.051, 0.746), Hf at (0.204, 0.471, 0.246), In at (0.151, 0.239, 0.496), Hg at (0.000, 0.458, 0.250) and Hg at (0.250, 0.250, 0.000).

=====

Crystalline Hf6InHg2 at its relaxed geometry, computed with PBE-GGA.

As for the energy relative to the elements: 0.02 eV per atom. The value obtained for the electronic total energy is -6.9866 eV/atom.

It has space group C2/m (No. 12), with a = 16.646 Å, b = 3.167 Å, c = 7.704 Å, α = 90.00°, β = 95.39° and γ = 90.00°. The distinct sites, in fractional coordinates, are Hf at (0.075, 0.000, 0.188), Hf at (0.174, 0.500, 0.504), Hf at (0.239, 0.500, 0.165), In at (0.000, 0.500, 0.500) and Hg at (0.098, 0.500, 0.855).

=====

Crystalline Hf3InHg at its relaxed geometry, computed with PBE-GGA.

As for the energy relative to the elements: -0.03 eV per atom. The value obtained for the electronic total energy is -6.6138 eV/atom. The value obtained for the energy above the most stable polymorph in this dataset is 0.00 eV/f.u.

It has space group P-1 (No. 2), with a = 5.723 Å, b = 6.096 Å, c = 7.686 Å, α = 103.89°, β = 99.02° and γ = 117.80°. The distinct sites, in fractional coordinates, are Hf at (0.000, 0.000, 0.000), Hf at (0.000, 0.500, 0.000), Hf at (0.207, 0.436, 0.418), Hf at (0.396, 0.316, 0.792), In at (0.227, 0.940, 0.383) and Hg at (0.385, 0.805, 0.816).

=====

Crystalline Hf4InHg at its relaxed geometry, computed with PBE-GGA.

As for the energy relative to the elements: 0.44 eV per atom. The value obtained for the electronic total energy is -6.7026 eV/atom. The value obtained for the energy above the most stable polymorph in this dataset is 3.44 eV/f.u.

It has space group R-3m (No. 166, hexagonal axes), with a = 4.7326 Å, b = 4.7326 Å, c = 23.1856 Å, α = 90.00°, β = 90.00° and γ = 120.00°. The distinct sites, in fractional coordinates, are Hf at (0.0000, 0.0000, 0.1244), Hf at (0.0000, 0.0000, 0.3745), In at (0.0000, 0.0000, 0.5000) and Hg at (0.0000, 0.0000, 0.0000).

=====

Crystalline Hf4InHg at its relaxed geometry, computed with PBE-GGA.

As for the energy relative to the elements: -0.13 eV per atom. The value obtained for the electronic total energy is -7.2764 eV/atom. The value obtained for the energy above the most stable polymorph in this dataset is 0.00 eV/f.u.

It has space group Cmmm (No. 65), with a = 4.320 Å, b = 13.855 Å, c = 4.389 Å, α = 90.00°, β = 90.00° and γ = 90.00°. The distinct sites, in fractional coordinates, are Hf at (0.000, 0.171, 0.000), Hf at (0.000, 0.329, 0.500), In at (0.000, 0.000, 0.500) and Hg at (0.000, 0.500, 0.000).